A plane-wave DFT calculation with PBE was carried out for a geometry-optimized La2CdCo structure.

The calculation puts the electronic total energy at -4.621 eV per atom. The value obtained for the density of states at the Fermi level is 6.40 states/eV/cell.

It has space group C2/m (No. 12), with a = 6.878 Å, b = 3.981 Å, c = 8.736 Å, α = 90.00°, β = 105.43° and γ = 90.00°. Symmetry generates all atoms from La at (0.228, 0.000, 0.186), Cd at (0.000, 0.000, 0.500) and Co at (0.000, 0.500, 0.000).


A plane-wave DFT calculation with PBE was carried out for a geometry-optimized TcNiP2I structure.

The calculation puts the electronic total energy at -4.644 eV per atom. The value obtained for the density of states at the Fermi level is 4.22 states/eV/cell. The calculation puts the raw formation energy at 1059 meV per atom.

It has space group P4/mmm (No. 123), with a = 4.299 Å, b = 4.299 Å, c = 5.579 Å, α = 90.00°, β = 90.00° and γ = 90.00°. Symmetry generates all atoms from Tc at (0.000, 0.000, 0.000), Ni at (0.500, 0.500, 0.500), P at (0.000, 0.500, 0.500) and I at (0.500, 0.500, 0.000).